--- P ---
This record from Alexandria via LeMat-Bulk describes a relaxed BeCr2F crystal. The functional is GGA+U.

a b c (Å): 6.131 6.131 6.131
angles (deg): 90.00 90.00 90.00
Space group Fm-3m (No. 225)
Inequivalent atoms, fractional coordinates:
Be: 0.000 0.000 0.000 x4
Cr: 0.250 0.250 0.250 x8
F: 0.000 0.000 0.500 x4

Summary:
* crystal system: cubic
* density of states at the Fermi level: 0.17 states/eV per atom



--- Q ---
This record from Alexandria via LeMat-Bulk describes a relaxed BeCr2F crystal. The functional is GGA+U.

a b c (Å): 6.299 6.299 6.215
angles (deg): 90.00 90.00 90.00
Space group I-42d (No. 122)
Inequivalent atoms, fractional coordinates:
Be: 0.000 0.000 0.000 x4
Cr: 0.216 0.250 0.625 x8
F: 0.000 0.000 0.500 x4

Summary:
* crystal system: tetragonal
* density of states at the Fermi level: 0.30 states/eV per atom



Result of the stability comparison: Q is the most stable of them.



--- P ---
This record from Alexandria via LeMat-Bulk describes a relaxed BeCrF2 crystal. The functional is GGA+U.

a b c (Å): 5.738 5.738 5.738
angles (deg): 90.00 90.00 90.00
Space group Fm-3m (No. 225)
Inequivalent atoms, fractional coordinates:
Be: 0.000 0.000 0.000 x4
Cr: 0.000 0.000 0.500 x4
F: 0.250 0.250 0.250 x8

Summary:
* crystal system: cubic
* density of states at the Fermi level: 0.37 states/eV per atom



--- Q ---
This record from Alexandria via LeMat-Bulk describes a relaxed BeCrF2 crystal. The functional is GGA+U.

a b c (Å): 2.6731 2.6731 25.3499
angles (deg): 90.00 90.00 120.00
Space group R-3m (No. 166, hexagonal axes)
Inequivalent atoms, fractional coordinates:
Be: 0.0000 0.0000 0.0000 x3
Cr: 0.0000 0.0000 0.5000 x3
F: 0.0000 0.0000 0.3684 x6

Summary:
* crystal system: trigonal
* density of states at the Fermi level: 0.80 states/eV per atom



Result of the stability comparison: Q is the most stable of them.



--- P ---
This record from Alexandria via LeMat-Bulk describes a relaxed BeCrF2 crystal. The functional is GGA+U.

a b c (Å): 7.526 7.526 7.526
angles (deg): 90.00 90.00 90.00
Space group Fd-3m (No. 227, origin choice 2)
Inequivalent atoms, fractional coordinates:
Be: 0.125 0.125 0.125 x8
Cr: 0.125 0.125 0.625 x8
F: 0.000 0.000 0.000 x16

Summary:
* crystal system: cubic
* density of states at the Fermi level: 0.25 states/eV per atom



--- Q ---
This record from Alexandria via LeMat-Bulk describes a relaxed BeCrF2 crystal. The functional is GGA+U.

a b c (Å): 2.7024 2.7024 22.1724
angles (deg): 90.00 90.00 120.00
Space group R-3m (No. 166, hexagonal axes)
Inequivalent atoms, fractional coordinates:
Be: 0.0000 0.0000 0.0000 x3
Cr: 0.0000 0.0000 0.5000 x3
F: 0.0000 0.0000 0.1048 x6

Summary:
* crystal system: trigonal
* density of states at the Fermi level: 0.34 states/eV per atom



Result of the stability comparison: P is the most stable of them.



--- P ---
This record from Alexandria via LeMat-Bulk describes a relaxed BeCr2F2 crystal. The functional is GGA+U.

a b c (Å): 3.461 3.461 11.272
angles (deg): 90.00 90.00 90.00
Space group I4/mmm (No. 139)
Inequivalent atoms, fractional coordinates:
Be: 0.000 0.000 0.000 x2
Cr: 0.000 0.000 0.373 x4
F: 0.000 0.500 0.250 x4

Summary:
* crystal system: tetragonal
* density of states at the Fermi level: 1.24 states/eV per atom



--- Q ---
This record from Alexandria via LeMat-Bulk describes a relaxed BeCr2F2 crystal. The functional is GGA+U.

a b c (Å): 6.887 6.887 2.891
angles (deg): 90.00 90.00 90.00
Space group P4/mbm (No. 127)
Inequivalent atoms, fractional coordinates:
Be: 0.000 0.000 0.000 x2
Cr: 0.160 0.340 0.000 x4
F: 0.132 0.632 0.500 x4

Summary:
* crystal system: tetragonal
* density of states at the Fermi level: 0.31 states/eV per atom



Result of the stability comparison: P is the most stable of them.



--- P ---
This record from Alexandria via LeMat-Bulk describes a relaxed BeCrNF2 crystal. The functional is GGA+U.

a b c (Å): 3.770 3.770 4.129
angles (deg): 90.00 90.00 90.00
Space group P4/mmm (No. 123)
Inequivalent atoms, fractional coordinates:
Be: 0.000 0.000 0.000 x1
Cr: 0.500 0.500 0.500 x1
N: 0.500 0.500 0.000 x1
F: 0.000 0.500 0.500 x2

Summary:
* crystal system: tetragonal
* density of states at the Fermi level: 0.12 states/eV per atom



--- Q ---
This record from Alexandria via LeMat-Bulk describes a relaxed BeCrNF2 crystal. The functional is GGA+U.

a b c (Å): 3.111 3.111 5.863
angles (deg): 90.00 90.00 90.00
Space group P4/mmm (No. 123)
Inequivalent atoms, fractional coordinates:
Be: 0.000 0.000 0.000 x1
Cr: 0.500 0.500 0.500 x1
N: 0.000 0.000 0.500 x1
F: 0.000 0.500 0.000 x2

Summary:
* crystal system: tetragonal
* density of states at the Fermi level: 0.17 states/eV per atom



Result of the stability comparison: Q is the most stable of them.



--- P ---
This record from Alexandria via LeMat-Bulk describes a relaxed BeCrOF2 crystal. The functional is GGA+U.

a b c (Å): 3.220 3.220 4.544
angles (deg): 90.00 90.00 90.00
Space group P4/mmm (No. 123)
Inequivalent atoms, fractional coordinates:
Be: 0.000 0.000 0.000 x1
Cr: 0.500 0.500 0.500 x1
O: 0.000 0.000 0.500 x1
F: 0.000 0.500 0.000 x2

Summary:
* crystal system: tetragonal
* density of states at the Fermi level: 0.00 states/eV per atom



--- Q ---
This record from Alexandria via LeMat-Bulk describes a relaxed BeCrOF2 crystal. The functional is GGA+U.

a b c (Å): 3.916 3.916 3.944
angles (deg): 90.00 90.00 90.00
Space group P4/mmm (No. 123)
Inequivalent atoms, fractional coordinates:
Be: 0.000 0.000 0.000 x1
Cr: 0.500 0.500 0.500 x1
O: 0.500 0.500 0.000 x1
F: 0.000 0.500 0.500 x2

Summary:
* crystal system: tetragonal
* density of states at the Fermi level: 0.36 states/eV per atom



Result of the stability comparison: P is the most stable of them.